Computed, not measured: a relaxed BeGaSb2 crystal at the PBE level of DFT.

* raw formation energy: 182 kJ/mol of formula units
* relative energy among the computed polymorphs: 416 meV/atom
* calculated volume: 84.0 Å³ per cell
* DFT total energy: -0.1204 hartree per atom
* SG: Fm-3m (225)

Cell and atoms, written as POSCAR:
```
BeGaSb2
1.0
-1.2676 -4.7377 0.3382
-3.5116 -1.3862 3.1487
-4.3641 -1.5036 -1.6914
Be Sb Ga
1 2 1
Cartesian
0.0000 0.0000 0.0000 Be
-6.8575 -5.7206 1.3466 Sb
-2.2858 -1.9069 0.4489 Sb
-4.5717 -3.8137 0.8977 Ga
```